The following is a DFT calculation (PBE+U) of crystalline Mn2FeO4 at its relaxed geometry.

Properties
Crystal system: orthorhombic
E above lowest polymorph (meV per atom): 228
Energy (eV per atom): -7.118

a b c (Å): 5.321 9.755 2.993
angles (deg): 90.00 90.00 90.00
Space group Cmmm (No. 65)
Symmetry-distinct sites (fractional):
Mn 0.000 0.174 0.000 [4 per cell]
Fe 0.000 0.500 0.500 [2 per cell]
O 0.244 0.500 0.000 [4 per cell]
O 0.250 0.250 0.500 [4 per cell]